1.
{
  "formula": "CrFeRe2Ir",
  "functional": "GGA-PBE",
  "state": "relaxed",
  "sg": "P4/mmm (123)",
  "lattice_angstrom": [[-3.1587, 2.9522, 0.8183], [-2.6627, -3.2268, 1.3634], [1.5148, 0.4836, 4.1029]],
  "species": ["Re", "Re", "Ir", "Fe", "Cr"],
  "frac_coords": [[0.0000, 0.0000, 0.5000], [0.5000, 0.0000, 0.0000], [0.0000, 0.5000, 0.0000], [0.5000, 0.5000, 0.5000], [0.0000, 0.0000, 0.0000]]
}


2.
{
  "formula": "Cr2FeIrRh",
  "functional": "GGA-PBE",
  "state": "relaxed",
  "sg": "P4/mmm (123)",
  "lattice_angstrom": [[4.1089, 0.0000, 0.0000], [0.0000, 4.4425, 0.0000], [0.0000, 0.0000, 4.1089]],
  "species": ["Cr", "Cr", "Ir", "Rh", "Fe"],
  "frac_coords": [[0.0000, 0.0000, 0.5000], [0.5000, 0.0000, 0.0000], [0.0000, 0.5000, 0.0000], [0.5000, 0.5000, 0.5000], [0.0000, 0.0000, 0.0000]]
}


3.
{
  "formula": "CrFeIrRu",
  "functional": "GGA-PBE",
  "state": "relaxed",
  "sg": "F-43m (216)",
  "lattice_angstrom": [[4.2308, 0.0000, 0.0000], [2.1154, 3.6640, 0.0000], [2.1154, 1.2213, 3.4544]],
  "species": ["Ru", "Ir", "Fe", "Cr"],
  "frac_coords": [[0.2500, 0.2500, 0.2500], [0.7500, 0.7500, 0.7500], [0.5000, 0.5000, 0.5000], [0.0000, 0.0000, 0.0000]]
}


no.,ΔH_f (0 K) (eV/atom),magnetization (μB per atom)
1,1.840,0.01
2,1.142,0.00
3,0.081,0.64